A relaxed structure of Sm2ScAl. Source: Alexandria via LeMat-Bulk, functional PBE-GGA.

Results
Relative energy among the computed polymorphs ... 0.0520 eV/atom
E ... -5.004 eV/atom
V ... 27.3 A^3/atom
N(E_F) ... 6.857 states/eV/f.u.
Energy of formation from the pure elements ... -0.126 eV/atom

a = 3.6004 Å, b = 3.6004 Å, c = 8.4234 Å
α = 90.00°, β = 90.00°, γ = 90.00°
Last column: nearest neighbours and their distance in Å.
Atoms (fractional coordinates):
Sm1 0.0000 0.0000 0.2264  4 Al 3.18, 4 Sc 3.43
Sm2 0.0000 0.0000 0.7736  4 Al 3.18, 4 Sc 3.43
Sc1 0.5000 0.5000 0.5000  8 Sm 3.43, 4 Sc 3.60
Al1 0.5000 0.5000 0.0000  8 Sm 3.18

=====

A relaxed structure of Na3O. Source: Alexandria via LeMat-Bulk, functional PBE-GGA.

Results
Relative energy among the computed polymorphs ... 0.0000 eV/atom
E ... -2.987 eV/atom
V ... 26.1 A^3/atom
ΔE_f (raw) ... -0.758 eV per atom
N(E_F) ... 1.332 states/eV/f.u.

a = 3.2837 Å, b = 10.0808 Å, c = 6.2969 Å
α = 90.00°, β = 90.00°, γ = 90.00°
Last column: nearest neighbours and their distance in Å.
Atoms (fractional coordinates):
Na1 0.0000 0.0000 0.0000  2 O 2.31
Na2 0.0000 0.1385 0.3900  2 O 2.31
Na3 0.0000 0.8615 0.3900  2 O 2.31
Na4 0.5000 0.3615 0.8900  2 O 2.31
Na5 0.5000 0.5000 0.5000  2 O 2.31
Na6 0.5000 0.6385 0.8900  2 O 2.31
O1 0.0000 0.5000 0.7570  6 Na 2.31
O2 0.5000 0.0000 0.2570  6 Na 2.31

=====

A relaxed structure of TaTiTcRu. Source: Alexandria via LeMat-Bulk, functional PBE-GGA.

Results
Relative energy among the computed polymorphs ... 0.0073 eV/atom
E ... -10.444 eV/atom
V ... 15.5 A^3/atom
N(E_F) ... 1.432 states/eV/f.u.
Energy of formation from the pure elements ... -0.597 eV/atom

a = 3.1415 Å, b = 3.1415 Å, c = 6.2670 Å
α = 90.00°, β = 90.00°, γ = 90.00°
Last column: nearest neighbours and their distance in Å.
Atoms (fractional coordinates):
Ta1 0.0000 0.0000 0.0000  4 Tc 2.72, 4 Ru 2.74
Ti1 0.0000 0.0000 0.4934  4 Tc 2.69, 4 Ru 2.72
Tc1 0.5000 0.5000 0.2503  4 Ti 2.69, 4 Ta 2.72
Ru1 0.5000 0.5000 0.7433  4 Ti 2.72, 4 Ta 2.74